Here is a relaxed CoTePb2O6 crystal from OQMD via LeMat-Bulk. Energies are from PBE+U.

Results
VASP energy   -112.1 eV per cell

abc: 9.7841 5.6355 5.7218
angles: 90.00 125.45 90.00
Space group C2/m (No. 12)
Inequivalent atoms, fractional coordinates:
Co  0.0000  0.0000  0.0000 x2
Te  0.0000  0.5000  0.5000 x2
Pb  0.2491  0.5000  0.2546 x4
O  0.0334  0.2568  0.2936 x8
O  0.2397  0.5000  0.7996 x4